Record 1
Entry from the Alexandria database: HgRuN2O after structural relaxation (PBE-GGA).

Unit cell a=3.7877 b=3.7877 c=4.4419 alpha=90.00 beta=90.00 gamma=90.00
With the nearest neighbours (Å) after each atom.
Element x y z (fractional)
Hg: 0.0000 0.0000 0.0000  4 O 2.68, 8 N 2.92
Ru: 0.5000 0.5000 0.5000  4 N 1.89
N: 0.0000 0.5000 0.5000  2 Ru 1.89
N: 0.5000 0.0000 0.5000  2 Ru 1.89
O: 0.5000 0.5000 0.0000  2 Ru 2.22

Output
**Space-group type**: P4/mmm
**Final energy**: -27.4 eV/cell
**Formation energy from raw total energies**: 0.75 eV/atom
**Crystal system**: tetragonal
**Total magnetization**: 0.239 Bohr magnetons per cell

Record 2
Entry from the Alexandria database: HgRuN2O after structural relaxation (PBE-GGA).

Unit cell a=4.1645 b=4.1645 c=4.1577 alpha=90.00 beta=90.00 gamma=90.00
With the nearest neighbours (Å) after each atom.
Element x y z (fractional)
Hg: 0.0000 0.0000 0.0000  2 O 2.08, 4 N 2.08
Ru: 0.5000 0.5000 0.5000  8 N 2.94, 4 O 2.94
N: 0.0000 0.5000 0.0000  2 Hg 2.08
N: 0.5000 0.0000 0.0000  2 Hg 2.08
O: 0.0000 0.0000 0.5000  2 Hg 2.08

Output
**Space-group type**: P4/mmm
**Final energy**: -19.2 eV/cell
**Formation energy from raw total energies**: 2.40 eV/atom
**Crystal system**: tetragonal
**Total magnetization**: 4.690 Bohr magnetons per cell

Record 3
Entry from the Alexandria database: HgRuNO2 after structural relaxation (PBE-GGA).

Unit cell a=4.0552 b=4.0552 c=3.7653 alpha=90.00 beta=90.00 gamma=90.00
With the nearest neighbours (Å) after each atom.
Element x y z (fractional)
Hg: 0.0000 0.0000 0.0000  8 O 2.77, 4 N 2.87
Ru: 0.5000 0.5000 0.5000  2 N 1.88, 4 O 2.03
N: 0.5000 0.5000 0.0000  2 Ru 1.88
O: 0.0000 0.5000 0.5000  2 Ru 2.03
O: 0.5000 0.0000 0.5000  2 Ru 2.03

Output
**Space-group type**: P4/mmm
**Final energy**: -27.0 eV/cell
**Formation energy from raw total energies**: 0.17 eV/atom
**Crystal system**: tetragonal
**Total magnetization**: 0.000 Bohr magnetons per cell